VASP calculation (PBE-GGA) on ScH2Cl3 after structural relaxation.

Lattice parameters (Å, degrees): 7.3864 7.3864 6.4327 90.00 90.00 120.00
Closest atoms and distances in Å follow each position.
Fractional coordinates of all 12 atoms:
Sc (0.0000, 0.0000, 0.0000)  6 Cl 2.51
Sc (0.0000, 0.0000, 0.5000)  6 Cl 2.51
H (0.3333, 0.6667, 0.1916)  1 H 0.75
H (0.3333, 0.6667, 0.3084)  1 H 0.75
H (0.6667, 0.3333, 0.6916)  1 H 0.75
H (0.6667, 0.3333, 0.8084)  1 H 0.75
Cl (0.1506, 0.3013, 0.7500)  2 Sc 2.51
Cl (0.1506, 0.8494, 0.7500)  2 Sc 2.51
Cl (0.3013, 0.1506, 0.2500)  2 Sc 2.51
Cl (0.6987, 0.8494, 0.7500)  2 Sc 2.51
Cl (0.8494, 0.1506, 0.2500)  2 Sc 2.51
Cl (0.8494, 0.6987, 0.2500)  2 Sc 2.51

Results
E: -4.483 eV per atom
Crystal system: hexagonal